Record 1
First-principles (GGA-PBEsol) data for a geometry-optimized Fe2SiHgF structure, as listed in the Alexandria database.

a b c (Å): 4.3209 4.3209 4.9207
angles (deg): 90.00 90.00 90.00
Each line ends with the local moment (μB).
Fractional coordinates of all 5 atoms:
Si  0.0000  0.0000  0.0000  -0.09
F  0.5000  0.5000  0.5000  0.12
Hg  0.0000  0.0000  0.5000  0.01
Fe  0.0000  0.5000  0.0000  2.53
Fe  0.5000  0.0000  0.0000  2.53

As for the energy relative to the elements, uncorrected: 0.6009 eV per atom. As for the volume: 18.37 Å³ per atom. The total magnetization is 5.21 μB/f.u. As for the uncorrected energy: -4.633 eV per atom.

Record 2
First-principles (GGA-PBEsol) data for a geometry-optimized FeIN2F structure, as listed in the Alexandria database.

a b c (Å): 3.9345 3.9345 4.7205
angles (deg): 90.00 90.00 90.00
Each line ends with the local moment (μB).
Fractional coordinates of all 5 atoms:
I  0.0000  0.0000  0.5000  0.13
N  0.0000  0.5000  0.0000  0.99
N  0.5000  0.0000  0.0000  0.99
Fe  0.5000  0.5000  0.5000  3.35
F  0.0000  0.0000  0.0000  -0.04

As for the energy relative to the elements, uncorrected: 2.2379 eV per atom. As for the volume: 14.61 Å³ per atom. The total magnetization is 6.25 μB/f.u. As for the uncorrected energy: -3.704 eV per atom.

Record 3
First-principles (GGA-PBEsol) data for a geometry-optimized FeSbI2F structure, as listed in the Alexandria database.

a b c (Å): 4.1587 5.6502 5.6502
angles (deg): 90.00 90.00 90.00
Each line ends with the local moment (μB).
Fractional coordinates of all 5 atoms:
I  0.0000  0.0000  0.5000  0.01
I  0.0000  0.5000  0.0000  0.01
Sb  0.5000  0.0000  0.0000  -0.02
Fe  0.5000  0.5000  0.5000  3.28
F  0.0000  0.0000  0.0000  0.00

As for the energy relative to the elements, uncorrected: 0.3242 eV per atom. As for the volume: 26.55 Å³ per atom. The total magnetization is 3.48 μB/f.u. As for the uncorrected energy: -3.472 eV per atom.

Record 4
First-principles (GGA-PBEsol) data for a geometry-optimized InFeF2 structure, as listed in the Alexandria database.

a b c (Å): 4.2560 4.2560 4.2560
angles (deg): 60.00 60.00 60.00
Each line ends with the local moment (μB).
Fractional coordinates of all 4 atoms:
F  0.2500  0.2500  0.2500  0.04
F  0.7500  0.7500  0.7500  0.04
Fe  0.0000  0.0000  0.0000  2.95
In  0.5000  0.5000  0.5000  -0.03

As for the energy relative to the elements, uncorrected: -0.7648 eV per atom. As for the volume: 13.63 Å³ per atom. The total magnetization is 3.05 μB/f.u. As for the uncorrected energy: -4.715 eV per atom.

Record 5
First-principles (GGA-PBEsol) data for a geometry-optimized InFe3F structure, as listed in the Alexandria database.

a b c (Å): 4.8718 4.8718 4.8718
angles (deg): 90.00 90.00 90.00
Each line ends with the local moment (μB).
Fractional coordinates of all 5 atoms:
F  0.5000  0.5000  0.5000  0.18
Fe  0.0000  0.5000  0.0000  3.21
Fe  0.0000  0.0000  0.5000  3.21
Fe  0.5000  0.0000  0.0000  3.21
In  0.0000  0.0000  0.0000  -0.10

As for the energy relative to the elements, uncorrected: 1.5869 eV per atom. As for the volume: 23.13 Å³ per atom. The total magnetization is 10.23 μB/f.u. As for the uncorrected energy: -4.773 eV per atom.

Record 6
First-principles (GGA-PBEsol) data for a geometry-optimized InFeNF2 structure, as listed in the Alexandria database.

a b c (Å): 4.1683 4.1683 3.5506
angles (deg): 90.00 90.00 90.00
Each line ends with the local moment (μB).
Fractional coordinates of all 5 atoms:
N  0.0000  0.0000  0.5000  -0.10
F  0.0000  0.5000  0.0000  0.05
F  0.5000  0.0000  0.0000  0.05
Fe  0.0000  0.0000  0.0000  2.09
In  0.5000  0.5000  0.5000  -0.04

As for the energy relative to the elements, uncorrected: -0.8270 eV per atom. As for the volume: 12.34 Å³ per atom. The total magnetization is 2.08 μB/f.u. As for the uncorrected energy: -5.693 eV per atom.

Record 7
First-principles (GGA-PBEsol) data for a geometry-optimized Fe3IrF structure, as listed in the Alexandria database.

a b c (Å): 4.6275 4.6275 4.6275
angles (deg): 90.00 90.00 90.00
Each line ends with the local moment (μB).
Fractional coordinates of all 5 atoms:
Ir  0.0000  0.0000  0.0000  0.62
Fe  0.0000  0.5000  0.0000  3.24
Fe  0.0000  0.0000  0.5000  3.24
Fe  0.5000  0.0000  0.0000  3.24
F  0.5000  0.5000  0.5000  0.07

As for the energy relative to the elements, uncorrected: 1.2371 eV per atom. As for the volume: 19.82 Å³ per atom. The total magnetization is 10.69 μB/f.u. As for the uncorrected energy: -6.491 eV per atom.

Record 8
First-principles (GGA-PBEsol) data for a geometry-optimized KFeF3 structure, as listed in the Alexandria database.

a b c (Å): 4.0761 4.0798 4.0798
angles (deg): 90.00 90.00 90.00
Each line ends with the local moment (μB).
Fractional coordinates of all 5 atoms:
K  0.5000  0.5000  0.5000  0.00
Fe  0.0000  0.0000  0.0000  3.65
F  0.5000  0.0000  0.0000  0.09
F  0.0000  0.5000  0.0000  0.09
F  0.0000  0.0000  0.5000  0.09

As for the energy relative to the elements, uncorrected: -2.2785 eV per atom. As for the volume: 13.57 Å³ per atom. The total magnetization is 4.00 μB/f.u. As for the uncorrected energy: -5.454 eV per atom.